# 1
## TePd2 (GGA-PBE)

Data for TePd2 after structural relaxation.

Cell lengths 3.6043, 3.6043, 4.8914 Å; angles 111.43, 111.43, 90.02 degrees
Sites, in units of the cell vectors:
Pd 0.8308 0.8308 0.6625
Pd 0.1692 0.1692 0.3375
Te 0.5000 0.5000 0.0000

Properties
* VASP energy: -0.3507 Ry/atom
* calculated density: 10.4 g/cm³
* calculated volume: 18.133 Å³ per atom
* space group: No. 12



# 2
## TePd4 (GGA-PBE)

Data for TePd4 after structural relaxation.

Cell lengths 4.8974, 4.8974, 4.8974 Å; angles 90.00, 90.00, 90.00 degrees
Sites, in units of the cell vectors:
Pd 0.5000 0.0000 0.5000
Pd 0.0000 0.0000 0.0000
Pd 0.0000 0.5000 0.5000
Pd 0.5000 0.5000 0.0000
Te 0.5000 0.5000 0.5000

Properties
* VASP energy: -0.3101 Ry/atom
* calculated density: 7.8 g/cm³
* calculated volume: 23.493 Å³ per atom
* space group: No. 221



# 3
## TePd8 (GGA-PBE)

Data for TePd8 after structural relaxation.

Cell lengths 4.0627, 6.2933, 6.2933 Å; angles 84.02, 71.17, 71.17 degrees
Sites, in units of the cell vectors:
Pd 0.6654 0.3346 0.3346
Pd 0.3346 0.6654 0.6654
Pd 0.3317 0.0000 0.3365
Pd 0.0000 0.3346 0.6654
Pd 0.3317 0.3365 0.0000
Pd 0.0000 0.6654 0.3346
Pd 0.6683 0.6635 0.0000
Pd 0.6683 0.0000 0.6635
Te 0.0000 0.0000 0.0000

Properties
* VASP energy: -0.3747 Ry/atom
* calculated density: 11.3 g/cm³
* calculated volume: 16.015 Å³ per atom
* space group: No. 139